[1]
Li2PuAgAu2 (PBE, relaxed); DOS(E_F) = 16.73 states/eV per cell; formation enthalpy at 0 K = -0.36 eV per atom; E = -4.95 eV per atom
1.0
-3.007 -2.836 1.731
4.294 -0.243 1.260
-1.222 4.349 5.003
Li Au Pu Ag
2 2 1 1
Direct
0.333 0.667 0.648
0.667 0.333 0.352
0.333 0.667 0.250
0.667 0.333 0.750
0.000 0.000 0.000
0.000 0.000 0.500

[2]
Th2Ga3Ir4 (PBE, relaxed); DOS(E_F) = 9.12 states/eV per cell; formation enthalpy at 0 K = -0.81 eV per atom; E = -7.40 eV per atom
1.0
5.784 0.000 0.000
0.000 7.273 0.000
-2.892 0.000 7.894
Th Ir Ga
4 8 6
Direct
0.392 0.089 0.783
0.892 0.411 0.783
0.608 0.911 0.217
0.108 0.589 0.217
0.817 0.250 0.135
0.176 0.970 0.351
0.824 0.030 0.649
0.676 0.530 0.351
0.324 0.470 0.649
0.683 0.750 0.865
0.183 0.750 0.865
0.317 0.250 0.135
0.500 0.500 0.000
0.520 0.750 0.541
0.000 0.000 0.000
0.020 0.750 0.541
0.980 0.250 0.459
0.480 0.250 0.459